# Li2AlBr

A relaxed Li2AlBr crystal (PBE, the Alexandria database).

Cell lengths 6.684, 3.861, 3.620 Å; angles 90.01, 90.00, 90.00 degrees
Atoms (fractional coordinates):
Br  0.500  0.639  0.724
Al  0.000  0.610  0.523
Li  0.000  0.109  0.016
Li  0.500  0.141  0.237

Values from the calculation:
Its symmetry is Pm (6). As for the crystal system: monoclinic. The density of states at the Fermi level comes out at 0.261 states/eV/atom.

---

# Li2AlBr

A relaxed Li2AlBr crystal (PBE, the Alexandria database).

Cell lengths 3.469, 3.469, 8.480 Å; angles 90.00, 90.00, 90.00 degrees
Atoms (fractional coordinates):
Li  0.500  0.500  0.223
Li  0.000  0.000  0.982
Al  0.000  0.000  0.381
Br  0.500  0.500  0.914

Values from the calculation:
Its symmetry is P4mm (99). As for the crystal system: tetragonal. The density of states at the Fermi level comes out at 0.216 states/eV/atom.

---

# LiAl2Br

A relaxed LiAl2Br crystal (PBE, the Alexandria database).

Cell lengths 3.324, 5.451, 5.070 Å; angles 90.00, 90.00, 90.00 degrees
Atoms (fractional coordinates):
Al  0.000  0.000  0.998
Al  0.000  0.000  0.502
Br  0.500  0.500  0.250
Li  0.500  0.500  0.750

Values from the calculation:
Its symmetry is Pmmm (47). As for the crystal system: orthorhombic. The density of states at the Fermi level comes out at 0.613 states/eV/atom.

---

# LiAlBr2

A relaxed LiAlBr2 crystal (PBE, the Alexandria database).

Cell lengths 4.072, 4.072, 7.642 Å; angles 74.52, 74.52, 59.85 degrees
Atoms (fractional coordinates):
Al  0.250  0.250  0.250
Br  0.014  0.014  0.961
Br  0.486  0.486  0.539
Li  0.750  0.750  0.750

Values from the calculation:
Its symmetry is C2/m (12). As for the crystal system: monoclinic. The density of states at the Fermi level comes out at 0.000 states/eV/atom.

---

# LiAl2Br

A relaxed LiAl2Br crystal (PBE, the Alexandria database).

Cell lengths 3.461, 3.459, 7.777 Å; angles 90.00, 90.00, 90.00 degrees
Atoms (fractional coordinates):
Al  0.500  0.500  0.159
Al  0.000  0.000  0.990
Li  0.500  0.500  0.725
Br  0.000  0.000  0.626

Values from the calculation:
Its symmetry is P4mm (99). As for the crystal system: tetragonal. The density of states at the Fermi level comes out at 0.226 states/eV/atom.

---

# LiAlBr2

A relaxed LiAlBr2 crystal (PBE, the Alexandria database).

Cell lengths 4.161, 7.205, 3.960 Å; angles 90.00, 90.00, 90.00 degrees
Atoms (fractional coordinates):
Li  0.500  0.000  0.500
Al  0.000  0.500  0.500
Br  0.000  0.000  0.000
Br  0.500  0.500  0.000

Values from the calculation:
Its symmetry is Pmmm (47). As for the crystal system: orthorhombic. The density of states at the Fermi level comes out at 0.052 states/eV/atom.

---

# Li4AlBr

A relaxed Li4AlBr crystal (PBE, the Alexandria database).

Cell lengths 5.610, 5.610, 5.610 Å; angles 60.00, 60.00, 60.00 degrees
Site moments in Bohr magnetons follow the coordinates.
Atoms (fractional coordinates):
Li  0.870  0.377  0.377  0.02
Li  0.377  0.377  0.377  0.02
Li  0.377  0.870  0.377  0.02
Li  0.377  0.377  0.870  0.02
Al  0.750  0.750  0.750  -0.05
Br  0.000  0.000  0.000  0.02

Values from the calculation:
Its symmetry is F-43m (216). As for the crystal system: cubic. The density of states at the Fermi level comes out at 0.450 states/eV/atom.

---

# Li2AlBr4

A relaxed Li2AlBr4 crystal (PBE, the Alexandria database).

Cell lengths 6.027, 6.027, 7.324 Å; angles 114.30, 114.30, 90.00 degrees
Site moments in Bohr magnetons follow the coordinates.
Atoms (fractional coordinates):
Al  0.500  0.500  0.000  0.22
Br  0.125  0.125  0.744  0.08
Br  0.875  0.380  0.256  0.08
Br  0.620  0.620  0.744  0.08
Br  0.380  0.875  0.256  0.08
Li  0.750  0.250  0.500  0.00
Li  0.250  0.750  0.500  0.00

Values from the calculation:
Its symmetry is I-42m (121). As for the crystal system: tetragonal. The density of states at the Fermi level comes out at 0.282 states/eV/atom.

---

# LiAl2Br6

A relaxed LiAl2Br6 crystal (PBE, the Alexandria database).

Cell lengths 8.238, 10.261, 10.261 Å; angles 87.26, 67.48, 67.48 degrees
Atoms (fractional coordinates):
Br  0.952  0.194  0.023
Br  0.999  0.368  0.340
Br  0.452  0.023  0.194
Br  0.501  0.660  0.632
Br  0.814  0.880  0.401
Br  0.186  0.120  0.599
Br  0.001  0.632  0.660
Br  0.686  0.599  0.120
Br  0.048  0.806  0.977
Br  0.548  0.977  0.806
Br  0.499  0.340  0.368
Br  0.314  0.401  0.880
Li  0.750  0.805  0.195
Li  0.250  0.195  0.805
Al  0.209  0.621  0.791
Al  0.709  0.791  0.621
Al  0.291  0.209  0.379
Al  0.791  0.379  0.209

Values from the calculation:
Its symmetry is C2/c (15). As for the crystal system: monoclinic. The density of states at the Fermi level comes out at 0.274 states/eV/atom.

---

# LiAl2Br

A relaxed LiAl2Br crystal (PBE, the Alexandria database).

Cell lengths 8.031, 8.031, 8.031 Å; angles 25.34, 25.34, 25.34 degrees
Atoms (fractional coordinates):
Al  0.997  0.997  0.997
Al  0.253  0.253  0.253
Li  0.755  0.755  0.755
Br  0.494  0.494  0.494

Values from the calculation:
Its symmetry is R3m (160). As for the crystal system: trigonal. The density of states at the Fermi level comes out at 0.785 states/eV/atom.

---

# Li2AlBr

A relaxed Li2AlBr crystal (PBE, the Alexandria database).

Cell lengths 8.136, 8.136, 3.390 Å; angles 78.06, 78.06, 23.20 degrees
Atoms (fractional coordinates):
Li  0.930  0.930  0.067
Li  0.719  0.719  0.784
Al  0.553  0.553  0.445
Br  0.298  0.298  0.205

Values from the calculation:
Its symmetry is Cm (8). As for the crystal system: monoclinic. The density of states at the Fermi level comes out at 0.432 states/eV/atom.

---

# LiAlBr4

A relaxed LiAlBr4 crystal (PBE, the Alexandria database).

Cell lengths 6.529, 6.529, 6.529 Å; angles 60.00, 60.00, 60.00 degrees
Site moments in Bohr magnetons follow the coordinates.
Atoms (fractional coordinates):
Br  0.375  0.375  0.375  0.40
Br  0.375  0.375  0.875  0.40
Br  0.875  0.375  0.375  0.40
Br  0.375  0.875  0.375  0.40
Li  0.750  0.750  0.750  0.00
Al  0.000  0.000  0.000  0.00

Values from the calculation:
Its symmetry is F-43m (216). As for the crystal system: cubic. The density of states at the Fermi level comes out at 0.510 states/eV/atom.

---

Total DFT energy (no corrections) across the listed records, respectively: -10.629 -10.893 -10.976 -12.143 -12.241 -11.620 -13.005 -21.812 -57.037 -11.843 -11.063 -11.503 eV/cell.